Version a
VASP calculation (PBE-GGA) on CaCeSe2 after structural relaxation.

Output
**DOS(E_F)**: 1.6366 states/eV per atom

Cell lengths 4.1825, 4.1825, 7.4087 Å; angles 73.60, 73.60, 60.00 degrees
Site moments in Bohr magnetons follow the coordinates.
Fractional positions:
Se 0.2479 0.2479 0.2564  -0.01
Se 0.7521 0.7521 0.7436  -0.01
Ce 0.0000 0.0000 0.0000  1.08
Ca 0.5000 0.5000 0.5000  0.01



Version b
VASP calculation (PBE-GGA) on CaCeSe2 after structural relaxation.

Output
**DOS(E_F)**: 1.8018 states/eV per atom

Cell lengths 5.9660, 5.9660, 7.3019 Å; angles 114.11, 114.11, 90.00 degrees
Site moments in Bohr magnetons follow the coordinates.
Fractional positions:
Ce 0.7500 0.2500 0.5000  1.02
Ce 0.0000 0.0000 0.0000  1.02
Se 0.2523 0.2523 0.5046  -0.01
Se 0.7477 0.7477 0.4954  -0.01
Se 0.4977 0.9977 0.9954  -0.01
Se 0.0023 0.5023 0.0046  -0.01
Ca 0.2500 0.7500 0.5000  0.01
Ca 0.5000 0.5000 0.0000  0.01



Of them, the most stable is version a and the least stable is version b.



Version a
VASP calculation (PBE-GGA) on Ca2CeSe4 after structural relaxation.

Cell lengths 7.6822, 7.6822, 7.6822 Å; angles 109.62, 109.17, 109.62 degrees
Site moments in Bohr magnetons follow the coordinates.
Fractional positions:
Ca 0.8750 0.1300 0.5050  0.00
Ca 0.3750 0.8700 0.7450  0.00
Ca 0.2550 0.6300 0.1250  0.00
Ca 0.4950 0.3700 0.6250  0.00
Se 0.1176 0.8845 0.3665  -0.01
Se 0.1165 0.3845 0.3676  -0.01
Se 0.4819 0.1155 0.2331  -0.01
Se 0.6324 0.7488 0.0169  -0.01
Se 0.7669 0.2488 0.8824  -0.01
Se 0.9831 0.6155 0.7319  -0.01
Se 0.6335 0.7512 0.5181  -0.01
Se 0.2681 0.2512 0.8835  -0.01
Ce 0.7500 0.5000 0.2500  0.22
Ce 0.0000 0.0000 0.0000  0.22



Version b
VASP calculation (PBE-GGA) on Ca2CeSe4 after structural relaxation.

Output
**DOS(E_F)**: 0.3152 states/eV per atom

Cell lengths 4.0526, 7.2233, 13.7813 Å; angles 90.00, 90.00, 106.29 degrees
Site moments in Bohr magnetons follow the coordinates.
Fractional positions:
Se 0.7791 0.5583 0.3734  -0.02
Se 0.2209 0.4417 0.8734  -0.02
Se 0.2209 0.4417 0.6266  -0.02
Se 0.9765 0.9529 0.7500  -0.02
Se 0.7791 0.5583 0.1266  -0.02
Se 0.0235 0.0471 0.2500  -0.02
Se 0.5000 0.0000 0.5000  -0.02
Se 0.5000 0.0000 0.0000  -0.02
Ce 0.6218 0.2437 0.7500  0.26
Ce 0.3782 0.7563 0.2500  0.26
Ca 0.1295 0.2589 0.4335  0.00
Ca 0.1295 0.2589 0.0665  0.00
Ca 0.8705 0.7411 0.9335  0.00
Ca 0.8705 0.7411 0.5665  0.00



Of them, the most stable is version a and the least stable is version b.



Version a
VASP calculation (PBE-GGA) on CaCe2Se4 after structural relaxation.

Output
**DOS(E_F)**: 1.9131 states/eV per atom

Cell lengths 4.1473, 7.2503, 14.1648 Å; angles 90.00, 90.00, 106.62 degrees
Site moments in Bohr magnetons follow the coordinates.
Fractional positions:
Se 0.0328 0.0657 0.2500  -0.02
Se 0.9672 0.9343 0.7500  -0.02
Se 0.2249 0.4498 0.8793  -0.02
Se 0.5000 0.0000 0.5000  -0.03
Se 0.2249 0.4498 0.6207  -0.02
Se 0.7751 0.5502 0.1207  -0.02
Se 0.7751 0.5502 0.3793  -0.02
Se 0.5000 0.0000 0.0000  -0.03
Ca 0.6158 0.2316 0.7500  0.00
Ca 0.3842 0.7684 0.2500  0.00
Ce 0.8674 0.7347 0.5709  0.90
Ce 0.1326 0.2653 0.4291  0.90
Ce 0.1326 0.2653 0.0709  0.90
Ce 0.8674 0.7347 0.9291  0.90



Version b
VASP calculation (PBE-GGA) on CaCe2Se4 after structural relaxation.

Output
**DOS(E_F)**: 1.9939 states/eV per atom

Cell lengths 8.5136, 8.4653, 8.4653 Å; angles 60.71, 59.81, 59.81 degrees
Site moments in Bohr magnetons follow the coordinates.
Fractional positions:
Se 0.2343 0.7515 0.2515  -0.03
Se 0.7627 0.7515 0.2515  -0.03
Se 0.7503 0.7509 0.7485  -0.02
Se 0.2373 0.2485 0.7485  -0.03
Se 0.2497 0.2491 0.2515  -0.02
Se 0.7503 0.2485 0.2509  -0.02
Se 0.7657 0.2485 0.7485  -0.03
Se 0.2497 0.7515 0.7491  -0.02
Ce 0.0000 0.0000 0.5000  1.00
Ce 0.5000 0.0000 0.5000  1.00
Ce 0.0000 0.0000 0.0000  0.82
Ce 0.0000 0.5000 0.5000  0.82
Ca 0.5000 0.5000 0.0000  0.01
Ca 0.0000 0.5000 0.0000  0.01



Of them, the most stable is version b and the least stable is version a.



Version a
VASP calculation (PBE-GGA) on CaCe2Si after structural relaxation.

Output
**DOS(E_F)**: 2.8628 states/eV per atom

Cell lengths 3.7958, 3.7958, 11.1129 Å; angles 80.17, 80.17, 60.00 degrees
Site moments in Bohr magnetons follow the coordinates.
Fractional positions:
Ce 0.8885 0.8885 0.3345  0.67
Ce 0.1115 0.1115 0.6655  0.67
Ca 0.0000 0.0000 0.0000  0.04
Si 0.5000 0.5000 0.5000  -0.03



Version b
VASP calculation (PBE-GGA) on CaCe2Si after structural relaxation.

Output
**DOS(E_F)**: 2.4413 states/eV per atom

Cell lengths 3.8877, 3.8877, 7.6444 Å; angles 90.00, 90.00, 90.00 degrees
Site moments in Bohr magnetons follow the coordinates.
Fractional positions:
Ce 0.0000 0.0000 0.8261  0.71
Ce 0.0000 0.0000 0.1739  0.71
Ca 0.5000 0.5000 0.5000  0.05
Si 0.5000 0.5000 0.0000  -0.03



Of them, the most stable is version b and the least stable is version a.



Version a
VASP calculation (PBE-GGA) on CaCeSi4 after structural relaxation.

Output
**DOS(E_F)**: 1.2866 states/eV per atom

Cell lengths 5.3688, 5.3688, 5.3688 Å; angles 60.00, 60.00, 60.00 degrees
Fractional positions:
Si 0.6258 0.1227 0.6258
Si 0.6258 0.6258 0.6258
Si 0.6258 0.6258 0.1227
Si 0.1227 0.6258 0.6258
Ca 0.0000 0.0000 0.0000
Ce 0.2500 0.2500 0.2500



Version b
VASP calculation (PBE-GGA) on CaCeSi4 after structural relaxation.

Output
**DOS(E_F)**: 0.8853 states/eV per atom

Cell lengths 4.2416, 4.2416, 7.4053 Å; angles 106.64, 106.64, 90.00 degrees
Site moments in Bohr magnetons follow the coordinates.
Fractional positions:
Ce 0.0000 0.0000 0.0000  0.15
Si 0.6633 0.1633 0.3267  0.00
Si 0.8367 0.3367 0.6733  0.00
Si 0.5840 0.5840 0.1680  0.00
Si 0.4160 0.4160 0.8320  0.00
Ca 0.2500 0.7500 0.5000  0.00



Of them, the most stable is version b and the least stable is version a.



Version a
VASP calculation (PBE-GGA) on Ca2CeSn after structural relaxation.

Output
**DOS(E_F)**: 2.0058 states/eV per atom

Cell lengths 5.5717, 5.5717, 5.5728 Å; angles 60.01, 60.01, 60.00 degrees
Site moments in Bohr magnetons follow the coordinates.
Fractional positions:
Sn 0.0000 0.0000 0.0000  -0.07
Ca 0.7500 0.7500 0.7501  0.19
Ca 0.2500 0.2500 0.2499  0.19
Ce 0.5000 0.5000 0.5000  1.60



Version b
VASP calculation (PBE-GGA) on Ca2CeSn after structural relaxation.

Output
**DOS(E_F)**: 2.1977 states/eV per atom

Cell lengths 5.1750, 4.9217, 4.9217 Å; angles 90.00, 90.00, 90.00 degrees
Site moments in Bohr magnetons follow the coordinates.
Fractional positions:
Sn 0.5000 0.5000 0.5000  -0.03
Ca 0.0000 0.5000 0.0000  0.03
Ca 0.0000 0.0000 0.5000  0.03
Ce 0.5000 0.0000 0.0000  1.02



Of them, the most stable is version b and the least stable is version a.